# 1
# CsWCl2, relaxed, DFT PBE-GGA
# Raw total energy in eV per atom: -4.317
# ρ in kg/m³: 6588
# E above lowest polymorph in eV/atom: 0.000
# Crystal system: trigonal
# Total moment in μB/atom: 0.00
# ΔE_f (raw) in meV/atom: 57.7
# N(E_F) in states/eV/cell: 9.36
data_CsWCl2
_space_group_name_H-M_alt 'R -3 m'
_space_group_IT_number 166
_space_group_name_Hall '-R 3 2"'
_cell_length_a 3.3647
_cell_length_b 3.3647
_cell_length_c 29.8984
_cell_angle_alpha 90.00
_cell_angle_beta 90.00
_cell_angle_gamma 120.00
loop_
_atom_site_label
_atom_site_type_symbol
_atom_site_fract_x
_atom_site_fract_y
_atom_site_fract_z
Cs1 Cs 0.0000 0.0000 0.0000
W1 W 0.0000 0.0000 0.5000
Cl1 Cl 0.0000 0.0000 0.4218

***

# 2
# Pr9DyMg2, relaxed, DFT PBE-GGA
# Energy relative to the elements in eV/atom: 0.00
# Raw total energy in eV per atom: -4.239
# ρ in kg/m³: 6111
# Crystal system: tetragonal
# Total moment in μB/atom: 0.00
# N(E_F) in states/eV/cell: 17.83
data_Pr9DyMg2
_space_group_name_H-M_alt 'P 4/m m m'
_space_group_IT_number 123
_space_group_name_Hall '-P 4 2'
_cell_length_a 5.109
_cell_length_b 5.109
_cell_length_c 15.399
_cell_angle_alpha 90.00
_cell_angle_beta 90.00
_cell_angle_gamma 90.00
loop_
_atom_site_label
_atom_site_type_symbol
_atom_site_fract_x
_atom_site_fract_y
_atom_site_fract_z
Pr1 Pr 0.000 0.000 0.000
Pr2 Pr 0.000 0.000 0.335
Pr3 Pr 0.000 0.500 0.170
Pr4 Pr 0.000 0.500 0.500
Dy1 Dy 0.500 0.500 0.000
Mg1 Mg 0.500 0.500 0.337

***

Repeat the first record exactly.
# CsWCl2, relaxed, DFT PBE-GGA
# Raw total energy in eV per atom: -4.317
# ρ in kg/m³: 6588
# E above lowest polymorph in eV/atom: 0.000
# Crystal system: trigonal
# Total moment in μB/atom: 0.00
# ΔE_f (raw) in meV/atom: 57.7
# N(E_F) in states/eV/cell: 9.36
data_CsWCl2
_space_group_name_H-M_alt 'R -3 m'
_space_group_IT_number 166
_space_group_name_Hall '-R 3 2"'
_cell_length_a 3.3647
_cell_length_b 3.3647
_cell_length_c 29.8984
_cell_angle_alpha 90.00
_cell_angle_beta 90.00
_cell_angle_gamma 120.00
loop_
_atom_site_label
_atom_site_type_symbol
_atom_site_fract_x
_atom_site_fract_y
_atom_site_fract_z
Cs1 Cs 0.0000 0.0000 0.0000
W1 W 0.0000 0.0000 0.5000
Cl1 Cl 0.0000 0.0000 0.4218